PmNd6Y | GGA-PBE | relaxed

Values from the calculation:
E = -4.96 eV per atom
crystal system = tetragonal
energy of formation from the pure elements = 0.1 eV/f.u.
SG = P4/mmm (123)
magnetic moment = 0.0 μB per formula unit

Cell: 5.1837 5.1837 10.3550 Å, 90.00 90.00 90.00°
Last column: nearest neighbours and their distance in Å.
Element x y z (fractional)
Pm  0.0000  0.0000  0.0000  12 Nd 3.67
Nd  0.0000  0.5000  0.2508  8 Nd 3.66-3.67, 2 Y 3.66, 2 Pm 3.67
Nd  0.0000  0.5000  0.7492  8 Nd 3.66-3.67, 2 Y 3.66, 2 Pm 3.67
Nd  0.5000  0.0000  0.2508  8 Nd 3.66-3.67, 2 Y 3.66, 2 Pm 3.67
Nd  0.5000  0.0000  0.7492  8 Nd 3.66-3.67, 2 Y 3.66, 2 Pm 3.67
Nd  0.5000  0.5000  0.0000  4 Pm 3.67, 8 Nd 3.67
Nd  0.5000  0.5000  0.5000  8 Nd 3.66, 4 Y 3.67
Y  0.0000  0.0000  0.5000  12 Nd 3.66-3.67